A geometry-optimized TaFeTc2B structure. Source: Alexandria, functional GGA-PBE.

Calculated values
space-group type = No. 123
distance to the lowest polymorph of the same formula = 0 meV per atom

The structure in CIF format:
```
data_TaFeTc2B
_chemical_formula_sum 'Ta1 Fe1 Tc2 B1'
_space_group_name_H-M_alt 'P 1'
_space_group_IT_number 1
_space_group_name_Hall 'P 1'
_cell_length_a 4.1573
_cell_length_b 4.1573
_cell_length_c 3.8215
_cell_angle_alpha 90.00
_cell_angle_beta 90.00
_cell_angle_gamma 90.00
loop_
_atom_site_label
_atom_site_type_symbol
_atom_site_fract_x
_atom_site_fract_y
_atom_site_fract_z
Fe1 Fe 0.0000 0.0000 0.5000
B1 B 0.0000 0.0000 0.0000
Tc1 Tc 0.0000 0.5000 0.0000
Tc2 Tc 0.5000 0.0000 0.0000
Ta1 Ta 0.5000 0.5000 0.5000
```

***

A geometry-optimized Th2TaFe3B12 structure. Source: Alexandria, functional GGA-PBE.

Calculated values
space-group type = No. 166

The structure in CIF format:
```
data_Th2TaFe3B12
_chemical_formula_sum 'Th2 Ta1 Fe3 B12'
_space_group_name_H-M_alt 'P 1'
_space_group_IT_number 1
_space_group_name_Hall 'P 1'
_cell_length_a 7.4999
_cell_length_b 7.4999
_cell_length_c 7.4999
_cell_angle_alpha 49.63
_cell_angle_beta 49.63
_cell_angle_gamma 49.63
loop_
_atom_site_label
_atom_site_type_symbol
_atom_site_fract_x
_atom_site_fract_y
_atom_site_fract_z
Th1 Th 0.6206 0.6206 0.6206
Th2 Th 0.3794 0.3794 0.3794
Ta1 Ta 0.0000 0.0000 0.0000
Fe1 Fe 0.5000 0.0000 0.0000
Fe2 Fe 0.0000 0.5000 0.0000
Fe3 Fe 0.0000 0.0000 0.5000
B1 B 0.3346 0.3346 0.0486
B2 B 0.8918 0.8918 0.4010
B3 B 0.4010 0.8918 0.8918
B4 B 0.0486 0.3346 0.3346
B5 B 0.8918 0.4010 0.8918
B6 B 0.3346 0.0486 0.3346
B7 B 0.6654 0.6654 0.9514
B8 B 0.1082 0.1082 0.5990
B9 B 0.5990 0.1082 0.1082
B10 B 0.9514 0.6654 0.6654
B11 B 0.1082 0.5990 0.1082
B12 B 0.6654 0.9514 0.6654
```

***

A geometry-optimized Y2TaFeB structure. Source: Alexandria, functional GGA-PBE.

Calculated values
space-group type = No. 123

The structure in CIF format:
```
data_Y2TaFeB
_chemical_formula_sum 'Y2 Ta1 Fe1 B1'
_space_group_name_H-M_alt 'P 1'
_space_group_IT_number 1
_space_group_name_Hall 'P 1'
_cell_length_a 5.4726
_cell_length_b 5.4726
_cell_length_c 4.3402
_cell_angle_alpha 90.00
_cell_angle_beta 90.00
_cell_angle_gamma 90.00
loop_
_atom_site_label
_atom_site_type_symbol
_atom_site_fract_x
_atom_site_fract_y
_atom_site_fract_z
Y1 Y 0.0000 0.5000 0.0000
Y2 Y 0.5000 0.0000 0.0000
B1 B 0.5000 0.5000 0.5000
Fe1 Fe 0.0000 0.0000 0.5000
Ta1 Ta 0.0000 0.0000 0.0000
```

***

A geometry-optimized YTaFe2B structure. Source: Alexandria, functional GGA-PBE.

Calculated values
space-group type = No. 123

The structure in CIF format:
```
data_YTaFe2B
_chemical_formula_sum 'Y1 Ta1 Fe2 B1'
_space_group_name_H-M_alt 'P 1'
_space_group_IT_number 1
_space_group_name_Hall 'P 1'
_cell_length_a 4.4220
_cell_length_b 5.6626
_cell_length_c 4.4220
_cell_angle_alpha 90.00
_cell_angle_beta 90.00
_cell_angle_gamma 90.00
loop_
_atom_site_label
_atom_site_type_symbol
_atom_site_fract_x
_atom_site_fract_y
_atom_site_fract_z
Y1 Y 0.0000 0.5000 0.0000
B1 B 0.5000 0.5000 0.5000
Fe1 Fe 0.0000 0.0000 0.5000
Fe2 Fe 0.5000 0.0000 0.0000
Ta1 Ta 0.0000 0.0000 0.0000
```

***

A geometry-optimized TbFe3B structure. Source: Alexandria, functional GGA-PBE.

Calculated values
space-group type = No. 221

The structure in CIF format:
```
data_TbFe3B
_chemical_formula_sum 'Tb1 Fe3 B1'
_space_group_name_H-M_alt 'P 1'
_space_group_IT_number 1
_space_group_name_Hall 'P 1'
_cell_length_a 4.0137
_cell_length_b 4.0137
_cell_length_c 4.0137
_cell_angle_alpha 90.00
_cell_angle_beta 90.00
_cell_angle_gamma 90.00
loop_
_atom_site_label
_atom_site_type_symbol
_atom_site_fract_x
_atom_site_fract_y
_atom_site_fract_z
B1 B 0.0000 0.0000 0.0000
Tb1 Tb 0.5000 0.5000 0.5000
Fe1 Fe 0.0000 0.5000 0.0000
Fe2 Fe 0.0000 0.0000 0.5000
Fe3 Fe 0.5000 0.0000 0.0000
```

***

A geometry-optimized Tb2Fe3B6 structure. Source: Alexandria, functional GGA-PBE.

Calculated values
space-group type = No. 65

The structure in CIF format:
```
data_Tb2Fe3B6
_chemical_formula_sum 'Tb2 Fe3 B6'
_space_group_name_H-M_alt 'P 1'
_space_group_IT_number 1
_space_group_name_Hall 'P 1'
_cell_length_a 3.5208
_cell_length_b 5.8313
_cell_length_c 5.8313
_cell_angle_alpha 99.35
_cell_angle_beta 90.00
_cell_angle_gamma 90.00
loop_
_atom_site_label
_atom_site_type_symbol
_atom_site_fract_x
_atom_site_fract_y
_atom_site_fract_z
Tb1 Tb 0.0000 0.2855 0.7145
Tb2 Tb 0.0000 0.7145 0.2855
Fe1 Fe 0.0000 0.2068 0.2068
Fe2 Fe 0.0000 0.7932 0.7932
Fe3 Fe 0.5000 0.0000 0.0000
B1 B 0.5000 0.3803 0.3803
B2 B 0.5000 0.6197 0.6197
B3 B 0.5000 0.0810 0.3858
B4 B 0.5000 0.9190 0.6142
B5 B 0.5000 0.3858 0.0810
B6 B 0.5000 0.6142 0.9190
```

***

A geometry-optimized TbFe7B3 structure. Source: Alexandria, functional GGA-PBE.

Calculated values
space-group type = No. 167

The structure in CIF format:
```
data_TbFe7B3
_chemical_formula_sum 'Tb2 Fe14 B6'
_space_group_name_H-M_alt 'P 1'
_space_group_IT_number 1
_space_group_name_Hall 'P 1'
_cell_length_a 6.6879
_cell_length_b 6.6879
_cell_length_c 7.2912
_cell_angle_alpha 62.70
_cell_angle_beta 62.70
_cell_angle_gamma 60.00
loop_
_atom_site_label
_atom_site_type_symbol
_atom_site_fract_x
_atom_site_fract_y
_atom_site_fract_z
Tb1 Tb 0.5000 0.5000 0.5000
Tb2 Tb 0.0000 0.0000 0.0000
Fe1 Fe 0.6515 0.0809 0.4159
Fe2 Fe 0.0809 0.8516 0.4159
Fe3 Fe 0.8516 0.6515 0.4159
Fe4 Fe 0.8485 0.6484 0.0841
Fe5 Fe 0.4191 0.8485 0.0841
Fe6 Fe 0.6484 0.4191 0.0841
Fe7 Fe 0.3485 0.9191 0.5841
Fe8 Fe 0.9191 0.1484 0.5841
Fe9 Fe 0.1484 0.3485 0.5841
Fe10 Fe 0.1515 0.3516 0.9159
Fe11 Fe 0.5809 0.1515 0.9159
Fe12 Fe 0.3516 0.5809 0.9159
Fe13 Fe 0.7500 0.7500 0.7500
Fe14 Fe 0.2500 0.2500 0.2500
B1 B 0.4242 0.0758 0.7500
B2 B 0.0758 0.7500 0.7500
B3 B 0.7500 0.4242 0.7500
B4 B 0.5758 0.9242 0.2500
B5 B 0.9242 0.2500 0.2500
B6 B 0.2500 0.5758 0.2500
```

***

A geometry-optimized TbFe5B3 structure. Source: Alexandria, functional GGA-PBE.

Calculated values
space-group type = No. 63

The structure in CIF format:
```
data_TbFe5B3
_chemical_formula_sum 'Tb2 Fe10 B6'
_space_group_name_H-M_alt 'P 1'
_space_group_IT_number 1
_space_group_name_Hall 'P 1'
_cell_length_a 3.3405
_cell_length_b 5.8768
_cell_length_c 10.6553
_cell_angle_alpha 90.00
_cell_angle_beta 90.00
_cell_angle_gamma 106.51
loop_
_atom_site_label
_atom_site_type_symbol
_atom_site_fract_x
_atom_site_fract_y
_atom_site_fract_z
Tb1 Tb 0.8366 0.6732 0.7500
Tb2 Tb 0.1634 0.3268 0.2500
Fe1 Fe 0.8035 0.6070 0.4397
Fe2 Fe 0.1965 0.3930 0.9397
Fe3 Fe 0.0000 0.0000 0.5000
Fe4 Fe 0.0000 0.0000 0.0000
Fe5 Fe 0.4471 0.8941 0.1439
Fe6 Fe 0.5529 0.1059 0.8561
Fe7 Fe 0.5529 0.1059 0.6439
Fe8 Fe 0.8035 0.6070 0.0603
Fe9 Fe 0.1965 0.3930 0.5603
Fe10 Fe 0.4471 0.8941 0.3561
B1 B 0.3801 0.7602 0.9542
B2 B 0.8748 0.7495 0.2500
B3 B 0.3801 0.7602 0.5458
B4 B 0.6199 0.2398 0.4542
B5 B 0.1252 0.2505 0.7500
B6 B 0.6199 0.2398 0.0458
```

***

A geometry-optimized Tb2Fe3B4 structure. Source: Alexandria, functional GGA-PBE.

Calculated values
space-group type = No. 69

The structure in CIF format:
```
data_Tb2Fe3B4
_chemical_formula_sum 'Tb2 Fe3 B4'
_space_group_name_H-M_alt 'P 1'
_space_group_IT_number 1
_space_group_name_Hall 'P 1'
_cell_length_a 4.8231
_cell_length_b 4.8231
_cell_length_c 6.4097
_cell_angle_alpha 101.20
_cell_angle_beta 101.20
_cell_angle_gamma 118.93
loop_
_atom_site_label
_atom_site_type_symbol
_atom_site_fract_x
_atom_site_fract_y
_atom_site_fract_z
Tb1 Tb 0.6525 0.6525 0.3050
Tb2 Tb 0.3475 0.3475 0.6950
Fe1 Fe 0.5000 0.0000 0.0000
Fe2 Fe 0.0000 0.0000 0.0000
Fe3 Fe 0.0000 0.5000 0.0000
B1 B 0.0438 0.7096 0.7535
B2 B 0.7096 0.0438 0.7535
B3 B 0.9562 0.2904 0.2465
B4 B 0.2904 0.9562 0.2465
```

***

A geometry-optimized Tb2FeB5 structure. Source: Alexandria, functional GGA-PBE.

Calculated values
space-group type = No. 107

The structure in CIF format:
```
data_Tb2FeB5
_chemical_formula_sum 'Tb2 Fe1 B5'
_space_group_name_H-M_alt 'P 1'
_space_group_IT_number 1
_space_group_name_Hall 'P 1'
_cell_length_a 5.2495
_cell_length_b 5.2495
_cell_length_c 5.2495
_cell_angle_alpha 84.47
_cell_angle_beta 123.24
_cell_angle_gamma 123.24
loop_
_atom_site_label
_atom_site_type_symbol
_atom_site_fract_x
_atom_site_fract_y
_atom_site_fract_z
Tb1 Tb 0.5000 0.2344 0.7344
Tb2 Tb 0.5000 0.7344 0.2344
Fe1 Fe 0.0000 0.0108 0.0108
B1 B 0.3647 0.6627 0.6627
B2 B 0.0000 0.6627 0.2980
B3 B 0.0000 0.2980 0.6627
B4 B 0.6353 0.2980 0.2980
B5 B 0.0000 0.3213 0.3213
```

***

A geometry-optimized TbFe4B2 structure. Source: Alexandria, functional GGA-PBE.

Calculated values
space-group type = No. 65

The structure in CIF format:
```
data_TbFe4B2
_chemical_formula_sum 'Tb1 Fe4 B2'
_space_group_name_H-M_alt 'P 1'
_space_group_IT_number 1
_space_group_name_Hall 'P 1'
_cell_length_a 3.5341
_cell_length_b 3.5398
_cell_length_c 6.6064
_cell_angle_alpha 105.54
_cell_angle_beta 90.00
_cell_angle_gamma 90.00
loop_
_atom_site_label
_atom_site_type_symbol
_atom_site_fract_x
_atom_site_fract_y
_atom_site_fract_z
Tb1 Tb 0.0000 0.0000 0.0000
Fe1 Fe 0.5000 0.8136 0.6271
Fe2 Fe 0.0000 0.6895 0.3790
Fe3 Fe 0.5000 0.1864 0.3729
Fe4 Fe 0.0000 0.3105 0.6210
B1 B 0.5000 0.6041 0.2082
B2 B 0.5000 0.3959 0.7918
```

***

A geometry-optimized TbFeB structure. Source: Alexandria, functional GGA-PBE.

Calculated values
space-group type = No. 187
distance to the lowest polymorph of the same formula = 160 meV per atom

The structure in CIF format:
```
data_TbFeB
_chemical_formula_sum 'Tb1 Fe1 B1'
_space_group_name_H-M_alt 'P 1'
_space_group_IT_number 1
_space_group_name_Hall 'P 1'
_cell_length_a 3.5414
_cell_length_b 3.5414
_cell_length_c 4.0466
_cell_angle_alpha 90.00
_cell_angle_beta 90.00
_cell_angle_gamma 120.00
loop_
_atom_site_label
_atom_site_type_symbol
_atom_site_fract_x
_atom_site_fract_y
_atom_site_fract_z
B1 B 0.3333 0.6667 0.5001
Tb1 Tb 0.0000 0.0000 0.9999
Fe1 Fe 0.6667 0.3333 0.5000
```

***

no.,total energy (eV per atom),DOS(E_F) (states/eV/f.u.)
1,-9.70,4.4
2,-7.22,10.2
3,-6.43,4.8
4,-6.52,5.7
5,-7.41,4.2
6,-7.26,6.5
7,-7.72,10.4
8,-7.68,6.9
9,-6.80,4.8
10,-6.66,3.9
11,-7.66,5.0
12,-6.79,2.1